1.
Entry from the Alexandria database: Rb2SnIrC at its PBEsol-relaxed geometry (meta-GGA SCAN).

```
Rb2SnIrC
1.0
-3.077 1.507 -1.969
-4.064 -4.617 2.817
-1.225 4.218 5.145
Sn C Rb Ir
1 1 2 1
direct
0.000 0.000 0.000
0.500 0.000 0.000
0.000 0.000 0.500
0.000 0.500 0.000
0.500 0.500 0.500
```

Computed properties:
Space group   P4/mmm (123)
Formation energy   156.25 kJ per mole of atoms



2.
Entry from the Alexandria database: Al2TeSe at its PBEsol-relaxed geometry (meta-GGA SCAN).

```
Al2TeSe
1.0
-3.687 -0.556 0.686
-0.589 -0.650 -3.689
3.324 -6.053 2.484
Te Se Al
1 1 2
direct
0.250 0.750 0.500
0.500 0.500 0.000
0.000 0.000 0.000
0.750 0.250 0.500
```

Computed properties:
Space group   I-4m2 (119)
Formation energy from raw total energies   25 meV/atom
ΔE to the lowest computed polymorph   405.2 meV per atom